PrCo3P2: relaxed, GGA-PBEsol.

a b c (Å): 3.7283 10.5385 12.2474
angles (deg): 90.00 90.00 90.00
Space group Pmmn (No. 59, origin choice 2)
One atom of each set of equivalent atoms:
Pr: 0.2500 0.0674 0.2060 (multiplicity 4)
Pr: 0.2500 0.2500 0.4786 (multiplicity 2)
Co: 0.2500 0.1323 0.7116 (multiplicity 4)
Co: 0.2500 0.2500 0.0126 (multiplicity 2)
Co: 0.2500 0.5480 0.4297 (multiplicity 4)
Co: 0.2500 0.5837 0.9966 (multiplicity 4)
Co: 0.2500 0.7500 0.1564 (multiplicity 2)
Co: 0.2500 0.7500 0.7051 (multiplicity 2)
P: 0.2500 0.0990 0.8959 (multiplicity 4)
P: 0.2500 0.5547 0.6135 (multiplicity 4)
P: 0.2500 0.7500 0.3381 (multiplicity 2)
P: 0.2500 0.7500 0.8877 (multiplicity 2)

Output
As for the total magnetization: 4.61 Bohr magnetons per cell. As for the mass density: 7.9 g cm⁻³. The calculation puts the calculated formation energy at -914 meV/atom. Its crystal system is orthorhombic.